# 1
## Li2CaPr2Sn2 (PBE-GGA)

Data for a relaxed Li2CaPr2Sn2 crystal.

Cell and atoms, written as POSCAR:
```
Li2CaPr2Sn2
1.0
-3.1922 2.3829 2.8264
-4.6149 0.5882 -1.4878
-4.9758 -7.1186 4.6023
Li Ca Pr Sn
2 1 2 2
Direct
0.6011 0.6011 0.1967
0.3989 0.3989 0.8033
0.0000 0.0000 0.0000
0.1283 0.1283 0.6152
0.8717 0.8717 0.3848
0.7393 0.7393 0.7820
0.2607 0.2607 0.2180
```

Results
**VASP energy**: -0.14039 hartree per atom

# 2
## LiNiPb (PBE-GGA)

Data for a relaxed LiNiPb crystal.

Cell and atoms, written as POSCAR:
```
LiNiPb
1.0
5.5292 0.0000 0.0000
-2.7646 4.9153 0.0000
0.0000 0.0000 7.7415
Ni Li Pb
4 4 4
Direct
0.6086 0.2172 0.5628
0.8914 0.7828 0.0628
0.3914 0.7828 0.4372
0.1086 0.2172 0.9372
0.3424 0.1848 0.2500
0.1576 0.8152 0.7500
0.6576 0.8152 0.7500
0.8424 0.1848 0.2500
0.8463 0.6927 0.4026
0.6537 0.3073 0.9026
0.1537 0.3073 0.5974
0.3463 0.6927 0.0974
```

Results
**VASP energy**: -0.14222 hartree per atom

# 3
## Si2Tc (PBE-GGA)

Data for a relaxed Si2Tc crystal.

Cell and atoms, written as POSCAR:
```
Si2Tc
1.0
1.4951 -6.1998 0.0000
1.4951 6.1998 0.0000
0.0000 0.0000 4.5115
Si Tc
4 2
Direct
0.6243 0.3757 0.7500
0.9528 0.0472 0.7500
0.0472 0.9528 0.2500
0.3757 0.6243 0.2500
0.2914 0.7086 0.7500
0.7086 0.2914 0.2500
```

Results
**Relative energy among the computed polymorphs**: 201.9 meV per atom
**ΔE_f (raw)**: -0.191 eV per atom

# 4
## Nb2OsRhO (PBE-GGA)

Data for a relaxed Nb2OsRhO crystal.

Cell and atoms, written as POSCAR:
```
Nb2OsRhO
1.0
-1.2063 4.7924 0.8337
-0.4056 -0.7176 3.5379
4.8320 1.0817 0.7734
Rh Nb Os O
1 2 1 1
Direct
0.5000 0.5000 0.5000
0.0000 0.0000 0.5000
0.5000 0.0000 0.0000
0.0000 0.0000 0.0000
0.0000 0.5000 0.0000
```

Results
**ΔE_f (raw)**: 0.623 eV per atom

# 5
## PmDy2Ir2 (PBE-GGA)

Data for a relaxed PmDy2Ir2 crystal.

Cell and atoms, written as POSCAR:
```
PmDy2Ir2
1.0
-0.9476 -0.3010 -4.7249
1.0465 -4.0451 -2.4198
-5.5091 -2.1693 1.2422
Pm Dy Ir
1 2 2
Direct
0.5000 0.0000 0.0000
0.8334 0.3334 0.6618
0.1666 0.6666 0.3382
0.8333 0.3333 0.1779
0.1667 0.6667 0.8221
```

Results
**Relative energy among the computed polymorphs**: 0.0 meV per atom

# 6
## Ta2AsPt (PBE-GGA)

Data for a relaxed Ta2AsPt crystal.

Cell and atoms, written as POSCAR:
```
Ta2AsPt
1.0
4.6090 0.0000 0.0000
2.3045 3.9915 0.0000
2.3045 1.3305 3.7632
As Pt Ta
1 1 2
Direct
0.5000 0.5000 0.5000
0.7500 0.7500 0.7500
0.0000 0.0000 0.0000
0.2500 0.2500 0.2500
```

Results
**VASP energy**: -0.31000 hartree per atom